# 1
Here is AsSO after structural relaxation from the Alexandria database. Energies are from PBE.

a = 12.0567 Å, b = 3.5354 Å, c = 6.3769 Å
α = 90.00°, β = 92.07°, γ = 90.00°
Space group C2/m (No. 12)
Inequivalent atoms, fractional coordinates:
As 0.1187 0.0000 0.4085
S 0.0568 0.0000 0.7401
O 0.1714 0.5000 0.3604

## Properties
mass density	3.01	g cm⁻³
spin magnetization	0.000	μB per atom
uncorrected formation energy	-355.6	meV per atom
excess energy over the best structure of this formula in the dataset	0.013	eV/atom

***

# 2
Here is Pm2CuP3Pd4 after structural relaxation from the Alexandria database. Energies are from PBE.

a = 4.2203 Å, b = 4.2203 Å, c = 9.8363 Å
α = 90.00°, β = 90.00°, γ = 90.00°
Space group P-4m2 (No. 115)
Inequivalent atoms, fractional coordinates:
Pm 0.0000 0.5000 0.2487
Cu 0.0000 0.0000 0.5000
P 0.0000 0.5000 0.8628
P 0.5000 0.5000 0.5000
Pd 0.0000 0.0000 0.0000
Pd 0.0000 0.5000 0.6245
Pd 0.5000 0.5000 0.0000

## Properties
ΔE_f	-0.861	eV per atom
mass density	8.27	g cm⁻³
spin magnetization	0.000	μB per atom

***

# 3
Here is Zr3TaTe8 after structural relaxation from the Alexandria database. Energies are from PBE.

a = 13.4729 Å, b = 7.7838 Å, c = 8.6966 Å
α = 90.00°, β = 121.92°, γ = 90.00°
Space group C2/m (No. 12)
Inequivalent atoms, fractional coordinates:
Zr 0.0000 0.0000 0.0000
Zr 0.2500 0.2500 0.0000
Ta 0.0000 0.5000 0.0000
Te 0.0024 0.2565 0.2451
Te 0.2458 0.5000 0.2451
Te 0.2477 0.5000 0.7494

## Properties
mass density	6.33	g cm⁻³
spin magnetization	0.000	μB per atom
uncorrected formation energy	-730.6	meV per atom